# 1
A geometry-optimized ErZnAs2O8 structure. Source: Alexandria via LeMat-Bulk, functional GGA-PBE.

Unit cell a=5.863 b=5.863 c=5.863 alpha=106.86 beta=106.86 gamma=114.82
Atoms (fractional coordinates):
Er (0.000, 0.000, 0.000)
Zn (0.250, 0.750, 0.500)
As (0.750, 0.250, 0.500)
As (0.500, 0.500, 0.000)
O (0.388, 0.073, 0.315)
O (0.321, 0.508, 0.187)
O (0.321, 0.133, 0.813)
O (0.758, 0.073, 0.685)
O (0.867, 0.679, 0.187)
O (0.927, 0.242, 0.315)
O (0.927, 0.612, 0.685)
O (0.492, 0.679, 0.813)

The crystal system is tetragonal. Its formation energy from raw total energies is -1.61 eV per atom. As for the space group: I-4m2 (119).

***

# 2
A geometry-optimized MnMoCl structure. Source: Alexandria via LeMat-Bulk, functional GGA-PBE.

Unit cell a=4.188 b=4.188 c=4.188 alpha=60.00 beta=60.00 gamma=60.00
Atoms (fractional coordinates):
Cl (0.000, 0.000, 0.000)
Mn (0.500, 0.500, 0.500)
Mo (0.750, 0.750, 0.750)

The crystal system is cubic. Its formation energy from raw total energies is 0.82 eV per atom. The distance to the lowest polymorph of the same formula is 596 meV per atom. As for the space group: F-43m (216).

***

# 3
A geometry-optimized OsRh4Pb structure. Source: Alexandria via LeMat-Bulk, functional GGA-PBE.

Unit cell a=5.184 b=5.184 c=5.184 alpha=60.00 beta=60.00 gamma=60.00
Atoms (fractional coordinates):
Os (0.750, 0.750, 0.750)
Rh (0.873, 0.376, 0.376)
Rh (0.376, 0.376, 0.873)
Rh (0.376, 0.873, 0.376)
Rh (0.376, 0.376, 0.376)
Pb (0.000, 0.000, 0.000)

The crystal system is cubic. As for the formation energy: 0.610 eV per atom. As for the space group: F-43m (216).

***

# 4
A geometry-optimized Sc4FeBi structure. Source: Alexandria via LeMat-Bulk, functional GGA-PBE.

Unit cell a=5.569 b=7.151 c=7.754 alpha=106.57 beta=111.05 gamma=90.00
Atoms (fractional coordinates):
Sc (0.537, 0.049, 0.822)
Sc (0.715, 0.451, 0.178)
Sc (0.463, 0.951, 0.178)
Sc (0.285, 0.549, 0.822)
Sc (0.924, 0.848, 0.610)
Sc (0.314, 0.652, 0.390)
Sc (0.076, 0.152, 0.390)
Sc (0.686, 0.348, 0.610)
Fe (0.500, 0.000, 0.500)
Fe (0.000, 0.500, 0.500)
Bi (0.867, 0.750, 0.000)
Bi (0.133, 0.250, 0.000)

The crystal system is monoclinic. As for the formation energy: -0.185 eV per atom. The distance to the lowest polymorph of the same formula is 167 meV per atom. As for the space group: C2/c (15).

***

# 5
A geometry-optimized Na2BeAu structure. Source: Alexandria via LeMat-Bulk, functional GGA-PBE.

Unit cell a=3.750 b=3.750 c=10.901 alpha=80.10 beta=80.10 gamma=90.00
Atoms (fractional coordinates):
Na (0.625, 0.125, 0.250)
Na (0.125, 0.625, 0.250)
Na (0.375, 0.375, 0.750)
Na (0.875, 0.875, 0.750)
Au (0.000, 0.000, 0.000)
Au (0.750, 0.250, 0.500)
Be (0.500, 0.500, 0.000)
Be (0.250, 0.750, 0.500)

The crystal system is tetragonal. As for the formation energy: 0.347 eV per atom. As for the space group: I-42d (122).

***

# 6
A geometry-optimized Rb2MnPS structure. Source: Alexandria via LeMat-Bulk, functional GGA-PBE.

Unit cell a=6.397 b=4.533 c=6.397 alpha=90.00 beta=90.00 gamma=90.00
Atoms (fractional coordinates):
P (0.000, 0.500, 0.000)
S (0.000, 0.000, 0.000)
Mn (0.500, 0.500, 0.500)
Rb (0.000, 0.000, 0.500)
Rb (0.500, 0.000, 0.000)

The crystal system is tetragonal. Its formation energy from raw total energies is 0.40 eV per atom. The distance to the lowest polymorph of the same formula is 197 meV per atom. As for the space group: P4/mmm (123).

***

# 7
A geometry-optimized Ac2PrMg3 structure. Source: Alexandria via LeMat-Bulk, functional GGA-PBE.

Unit cell a=4.051 b=4.051 c=12.147 alpha=90.00 beta=90.00 gamma=90.00
Atoms (fractional coordinates):
Ac (0.500, 0.500, 0.827)
Ac (0.500, 0.500, 0.173)
Pr (0.500, 0.500, 0.500)
Mg (0.000, 0.000, 0.000)
Mg (0.000, 0.000, 0.651)
Mg (0.000, 0.000, 0.349)

The crystal system is tetragonal. As for the formation energy: -0.089 eV per atom. As for the space group: P4/mmm (123).

***

# 8
A geometry-optimized SrZrV2Ni structure. Source: Alexandria via LeMat-Bulk, functional GGA-PBE.

Unit cell a=4.684 b=5.822 c=4.684 alpha=90.00 beta=90.00 gamma=90.00
Atoms (fractional coordinates):
Sr (0.000, 0.500, 0.000)
V (0.000, 0.000, 0.500)
V (0.500, 0.000, 0.000)
Zr (0.000, 0.000, 0.000)
Ni (0.500, 0.500, 0.500)

The crystal system is tetragonal. As for the formation energy: 1.709 eV per atom. As for the space group: P4/mmm (123).

***

# 9
A geometry-optimized InNiAs2 structure. Source: Alexandria via LeMat-Bulk, functional GGA-PBE.

Unit cell a=3.743 b=3.743 c=6.824 alpha=73.74 beta=73.74 gamma=60.29
Atoms (fractional coordinates):
As (0.973, 0.973, 0.080)
As (0.527, 0.527, 0.420)
In (0.750, 0.750, 0.750)
Ni (0.250, 0.250, 0.250)

The crystal system is monoclinic. As for the formation energy: -0.096 eV per atom. As for the space group: C2/m (12).

***

# 10
A geometry-optimized AgRuRh2 structure. Source: Alexandria via LeMat-Bulk, functional GGA-PBE.

Unit cell a=3.808 b=2.764 c=6.312 alpha=64.01 beta=90.00 gamma=90.00
Atoms (fractional coordinates):
Ag (0.500, 0.750, 0.750)
Rh (0.000, 0.981, 0.018)
Rh (0.000, 0.519, 0.482)
Ru (0.500, 0.250, 0.250)

The crystal system is orthorhombic. As for the formation energy: 0.232 eV per atom. The distance to the lowest polymorph of the same formula is 106 meV per atom. As for the space group: Pmmm (47).

***

# 11
A geometry-optimized Cr2OsCl structure. Source: Alexandria via LeMat-Bulk, functional GGA-PBE.

Unit cell a=4.937 b=4.937 c=4.937 alpha=147.09 beta=128.34 gamma=62.62
Atoms (fractional coordinates):
Cr (0.022, 0.022, 0.000)
Cr (0.478, 0.478, 0.000)
Os (0.750, 0.250, 0.500)
Cl (0.250, 0.750, 0.500)

The crystal system is orthorhombic. Its formation energy from raw total energies is 0.79 eV per atom. The distance to the lowest polymorph of the same formula is 623 meV per atom. As for the space group: Immm (71).

***

# 12
A geometry-optimized BaNaGaH6 structure. Source: Alexandria via LeMat-Bulk, functional GGA-PBE.

Unit cell a=5.370 b=5.370 c=5.227 alpha=90.01 beta=90.00 gamma=59.98
Atoms (fractional coordinates):
Ba (0.000, 0.000, 0.000)
Na (0.667, 0.667, 0.500)
Ga (0.333, 0.333, 0.500)
H (0.057, 0.351, 0.299)
H (0.351, 0.057, 0.701)
H (0.591, 0.351, 0.701)
H (0.057, 0.592, 0.700)
H (0.351, 0.592, 0.299)
H (0.592, 0.057, 0.300)

The crystal system is trigonal. Its total energy is -27.5 eV/cell. As for the space group: P312 (149).

***

# 13
A geometry-optimized Dy2InCl8 structure. Source: Alexandria via LeMat-Bulk, functional GGA-PBE.

Unit cell a=6.970 b=6.950 c=6.950 alpha=76.40 beta=79.56 gamma=79.56
Atoms (fractional coordinates):
Dy (0.450, 0.318, 0.318)
Dy (0.550, 0.682, 0.682)
In (0.000, 0.000, 0.000)
Cl (0.319, 0.668, 0.050)
Cl (0.681, 0.950, 0.332)
Cl (0.169, 0.195, 0.195)
Cl (0.831, 0.805, 0.805)
Cl (0.319, 0.050, 0.668)
Cl (0.681, 0.332, 0.950)
Cl (0.743, 0.439, 0.439)
Cl (0.257, 0.561, 0.561)

The crystal system is monoclinic. Its formation energy from raw total energies is -1.83 eV per atom. As for the space group: C2/m (12).

***

# 14
A geometry-optimized LiTb2Ga8 structure. Source: Alexandria via LeMat-Bulk, functional GGA-PBE.

Unit cell a=4.314 b=4.314 c=11.267 alpha=90.00 beta=90.00 gamma=90.00
Atoms (fractional coordinates):
Li (0.000, 0.000, 0.000)
Tb (0.000, 0.000, 0.311)
Tb (0.000, 0.000, 0.689)
Ga (0.000, 0.500, 0.500)
Ga (0.500, 0.000, 0.500)
Ga (0.500, 0.500, 0.306)
Ga (0.500, 0.500, 0.694)
Ga (0.000, 0.500, 0.124)
Ga (0.500, 0.000, 0.124)
Ga (0.000, 0.500, 0.876)
Ga (0.500, 0.000, 0.876)

The crystal system is tetragonal. As for the formation energy: -0.417 eV per atom. As for the space group: P4/mmm (123).

***

# 15
A geometry-optimized LaNd2Si structure. Source: Alexandria via LeMat-Bulk, functional GGA-PBE.

Unit cell a=3.929 b=3.929 c=7.492 alpha=90.00 beta=90.00 gamma=90.00
Atoms (fractional coordinates):
Si (0.500, 0.500, 0.000)
Nd (0.000, 0.000, 0.802)
Nd (0.000, 0.000, 0.198)
La (0.500, 0.500, 0.500)

The crystal system is tetragonal. Its formation energy from raw total energies is -0.24 eV per atom. The distance to the lowest polymorph of the same formula is 123 meV per atom. As for the space group: P4/mmm (123).

***

# 16
A geometry-optimized SrTm2Se structure. Source: Alexandria via LeMat-Bulk, functional GGA-PBE.

Unit cell a=3.801 b=3.801 c=10.754 alpha=79.82 beta=79.82 gamma=60.00
Atoms (fractional coordinates):
Sr (0.000, 0.000, 0.000)
Tm (0.112, 0.112, 0.664)
Tm (0.888, 0.888, 0.336)
Se (0.500, 0.500, 0.500)

The crystal system is trigonal. Its formation energy from raw total energies is -0.55 eV per atom. As for the space group: R-3m (166).

***

# 17
A geometry-optimized Sr2BiN structure. Source: Alexandria via LeMat-Bulk, functional GGA-PBE.

Unit cell a=3.793 b=3.793 c=9.858 alpha=78.91 beta=78.91 gamma=60.00
Atoms (fractional coordinates):
Sr (0.119, 0.119, 0.643)
Sr (0.881, 0.881, 0.357)
Bi (0.000, 0.000, 0.000)
N (0.500, 0.500, 0.500)

The crystal system is trigonal. Its formation energy from raw total energies is -0.49 eV per atom. The distance to the lowest polymorph of the same formula is 0 meV per atom. As for the space group: R-3m (166).

***

# 18
A geometry-optimized KBa2InBr structure. Source: Alexandria via LeMat-Bulk, functional GGA-PBE.

Unit cell a=6.390 b=5.897 c=6.390 alpha=90.00 beta=90.00 gamma=90.00
Atoms (fractional coordinates):
K (0.000, 0.500, 0.000)
Ba (0.000, 0.000, 0.500)
Ba (0.500, 0.000, 0.000)
Br (0.000, 0.000, 0.000)
In (0.500, 0.500, 0.500)

The crystal system is tetragonal. Its formation energy from raw total energies is -0.55 eV per atom. As for the space group: P4/mmm (123).

***

# 19
A geometry-optimized DyB2 structure. Source: Alexandria via LeMat-Bulk, functional GGA-PBE.

Unit cell a=3.742 b=3.742 c=5.201 alpha=125.43 beta=125.43 gamma=90.07
Atoms (fractional coordinates):
B (0.234, 0.234, 0.267)
B (0.766, 0.766, 0.733)
Dy (0.500, 0.500, 0.000)

The crystal system is monoclinic. As for the formation energy: -0.331 eV per atom. The distance to the lowest polymorph of the same formula is 235 meV per atom. As for the space group: C2/m (12).

***

# 20
A geometry-optimized PmHo6Sc structure. Source: Alexandria via LeMat-Bulk, functional GGA-PBE.

Unit cell a=6.938 b=6.938 c=6.938 alpha=110.19 beta=110.19 gamma=110.19
Atoms (fractional coordinates):
Pm (0.000, 0.000, 0.000)
Ho (0.251, 0.736, 0.251)
Ho (0.251, 0.251, 0.736)
Ho (0.749, 0.264, 0.749)
Ho (0.264, 0.749, 0.749)
Ho (0.749, 0.749, 0.264)
Ho (0.736, 0.251, 0.251)
Sc (0.500, 0.500, 0.500)

The crystal system is trigonal. As for the formation energy: 0.243 eV per atom. The distance to the lowest polymorph of the same formula is 212 meV per atom. As for the space group: R-3m (166).

***

# 21
A geometry-optimized Pm7Ge4H structure. Source: Alexandria via LeMat-Bulk, functional GGA-PBE.

Unit cell a=4.987 b=8.772 c=8.163 alpha=78.18 beta=72.21 gamma=73.49
Atoms (fractional coordinates):
Pm (0.791, 0.853, 0.565)
Pm (0.209, 0.147, 0.435)
Pm (0.076, 0.722, 0.126)
Pm (0.924, 0.278, 0.874)
Pm (0.362, 0.553, 0.723)
Pm (0.500, 0.000, 0.000)
Pm (0.638, 0.447, 0.277)
Ge (0.580, 0.208, 0.633)
Ge (0.420, 0.792, 0.367)
Ge (0.720, 0.657, 0.904)
Ge (0.280, 0.343, 0.096)
H (0.000, 0.000, 0.000)

The crystal system is monoclinic. Its total energy is -62.2 eV/cell. As for the space group: C2/m (12).

***

# 22
A geometry-optimized HfZrGaTc structure. Source: Alexandria via LeMat-Bulk, functional GGA-PBE.

Unit cell a=4.693 b=4.693 c=4.693 alpha=60.00 beta=60.00 gamma=60.00
Atoms (fractional coordinates):
Ga (0.250, 0.250, 0.250)
Hf (0.500, 0.500, 0.500)
Tc (0.750, 0.750, 0.750)
Zr (0.000, 0.000, 0.000)

The crystal system is cubic. As for the formation energy: -0.403 eV per atom. The distance to the lowest polymorph of the same formula is 114 meV per atom. As for the space group: F-43m (216).

***

# 23
A geometry-optimized PrTh2Sc6 structure. Source: Alexandria via LeMat-Bulk, functional GGA-PBE.

Unit cell a=5.806 b=7.076 c=7.076 alpha=60.03 beta=90.04 gamma=90.04
Atoms (fractional coordinates):
Pr (0.000, 0.000, 0.000)
Th (0.810, 0.667, 0.667)
Th (0.190, 0.333, 0.333)
Sc (0.323, 0.380, 0.810)
Sc (0.323, 0.810, 0.810)
Sc (0.323, 0.810, 0.380)
Sc (0.677, 0.620, 0.190)
Sc (0.677, 0.190, 0.190)
Sc (0.677, 0.190, 0.620)

The crystal system is trigonal. As for the formation energy: 0.257 eV per atom. As for the space group: P-3m1 (164).

***

# 24
A geometry-optimized Li4Mg2Sn structure. Source: Alexandria via LeMat-Bulk, functional GGA-PBE.

Unit cell a=8.224 b=5.946 c=5.946 alpha=61.43 beta=46.25 gamma=46.25
Atoms (fractional coordinates):
Li (0.500, 0.500, 0.000)
Li (0.000, 0.000, 0.500)
Li (0.500, 0.000, 0.500)
Li (0.000, 0.500, 0.000)
Mg (0.000, 0.500, 0.500)
Mg (0.500, 0.500, 0.500)
Sn (0.000, 0.000, 0.000)

The crystal system is tetragonal. As for the formation energy: -0.103 eV per atom. The distance to the lowest polymorph of the same formula is 87 meV per atom. As for the space group: I4/mmm (139).

***

# 25
A geometry-optimized Pr4Er5Tm4 structure. Source: Alexandria via LeMat-Bulk, functional GGA-PBE.

Unit cell a=5.033 b=9.440 c=9.440 alpha=85.92 beta=74.54 gamma=74.54
Atoms (fractional coordinates):
Pr (0.921, 0.460, 0.698)
Pr (0.619, 0.302, 0.460)
Pr (0.079, 0.540, 0.302)
Pr (0.381, 0.698, 0.540)
Er (0.688, 0.851, 0.772)
Er (0.312, 0.149, 0.228)
Er (0.000, 0.000, 0.000)
Er (0.539, 0.772, 0.149)
Er (0.461, 0.228, 0.851)
Tm (0.771, 0.381, 0.076)
Tm (0.229, 0.619, 0.924)
Tm (0.847, 0.924, 0.382)
Tm (0.153, 0.076, 0.618)

The crystal system is tetragonal. As for the formation energy: 0.027 eV per atom. As for the space group: I4/m (87).

***

# 26
A geometry-optimized LiIn2P structure. Source: Alexandria via LeMat-Bulk, functional GGA-PBE.

Unit cell a=3.906 b=3.020 c=7.363 alpha=86.69 beta=90.00 gamma=90.00
Atoms (fractional coordinates):
In (0.000, 0.958, 0.947)
In (0.500, 0.047, 0.298)
Li (0.000, 0.505, 0.580)
P (0.500, 0.991, 0.676)

The crystal system is monoclinic. As for the formation energy: -0.115 eV per atom. As for the space group: Pm (6).